Material: Ac8Ir2Pt3
Method: DFT, PBE-GGA
State: optimized geometry

```
13
Lattice="7.652 -4.430 0.000 7.652 4.430 0.000 -2.534 0.000 7.028" Properties=species:S:1:pos:R:3 pbc="T T T"
Ac 5.067 2.324 1.625
Ac 1.238 0.000 1.680
Ac 7.703 2.324 5.403
Ac 3.748 0.000 5.501
Ac 9.022 0.000 1.527
Ac 5.067 -2.324 1.625
Ac 11.532 0.000 5.347
Ac 7.703 -2.324 5.403
Ir 3.837 0.000 0.105
Ir 8.933 0.000 6.922
Pt -1.267 0.000 3.514
Pt 7.652 2.202 0.000
Pt 7.652 -2.202 0.000
```

Values from the calculation:
ΔH_f (0 K) in meV per atom: -829.8
DOS(E_F) in states/eV/atom: 0.70